CoRh2W: PBEsol geometry, SCAN.

```
CoRh2W
1.0
2.6818 0.0000 0.0000
-1.3409 4.3885 0.0050
0.0000 -0.8585 4.5145
W Rh Co
1 2 1
direct
0.4958 0.9917 0.4992
0.0039 0.0077 0.0153
0.2500 0.4999 0.7424
0.7504 0.5007 0.2432
```

Output
ΔH_f (0 K)	0.02	eV/atom
excess energy over the best structure of this formula in the dataset	189	meV/atom


Ca2ZrTe: PBEsol geometry, SCAN.

```
Ca2ZrTe
1.0
3.7277 0.0000 0.0000
0.0000 5.4057 0.0000
-1.8639 -2.7028 5.6667
Ca Zr Te
2 1 1
direct
0.7847 0.7847 0.5693
0.9910 0.4910 0.9820
0.2099 0.2099 0.4198
0.5144 0.0144 0.0289
```

Output
formation energy without anion corrections	-327	meV per atom


Mg5Zr: PBEsol geometry, SCAN.

```
Mg5Zr
1.0
5.7364 0.0000 0.0000
2.8682 4.9679 0.0000
2.8682 1.6560 4.6838
Zr Mg
1 5
direct
0.0000 0.0000 0.0000
0.7500 0.7500 0.7500
0.3740 0.3740 0.3740
0.3740 0.8779 0.3740
0.8779 0.3740 0.3740
0.3740 0.3740 0.8779
```

Output
ΔH_f (0 K)	0.18	eV/atom


no.,volume (Å³/cell)
1,53.1
2,114.2
3,133.5